La2PmRh2I2 after structural relaxation. Source: the Alexandria database, functional PBE-GGA.

CIF file:
```
data_La2PmRh2I2
_cell_length_a 5.205
_cell_length_b 5.205
_cell_length_c 16.945
_cell_angle_alpha 90.00
_cell_angle_beta 90.00
_cell_angle_gamma 90.00
_space_group_name_H-M_alt 'I 4/m m m'
_space_group_IT_number 139
_space_group_name_Hall '-I 4 2'
loop_
_atom_site_label
_atom_site_type_symbol
_atom_site_fract_x
_atom_site_fract_y
_atom_site_fract_z
La1 La 0.000 0.000 0.106
Pm1 Pm 0.000 0.000 0.500
Rh1 Rh 0.000 0.500 0.000
I1 I 0.000 0.000 0.307
```

## Properties
Final energy ... -75.31 eV per cell
Raw formation energy ... -72.3 kJ/mol of atoms
Spin magnetization ... 0.01 μB/f.u.

NiRuAu2 after structural relaxation. Source: the Alexandria database, functional PBE-GGA.

CIF file:
```
data_NiRuAu2
_cell_length_a 2.8150
_cell_length_b 2.8150
_cell_length_c 26.8053
_cell_angle_alpha 90.00
_cell_angle_beta 90.00
_cell_angle_gamma 120.00
_space_group_name_H-M_alt 'R -3 m'
_space_group_IT_number 166
_space_group_name_Hall '-R 3 2"'
loop_
_atom_site_label
_atom_site_type_symbol
_atom_site_fract_x
_atom_site_fract_y
_atom_site_fract_z
Ni1 Ni 0.0000 0.0000 0.0000
Ru1 Ru 0.0000 0.0000 0.5000
Au1 Au 0.0000 0.0000 0.2536
```

## Properties
Final energy ... -60.82 eV per cell
Spin magnetization ... 0.39 μB/f.u.
Energy of formation from the pure elements ... 335 meV per atom

Na3Pu2ReN6 after structural relaxation. Source: the Alexandria database, functional PBE-GGA.

CIF file:
```
data_Na3Pu2ReN6
_cell_length_a 5.722
_cell_length_b 9.918
_cell_length_c 6.001
_cell_angle_alpha 90.00
_cell_angle_beta 108.45
_cell_angle_gamma 90.00
_space_group_name_H-M_alt 'C 1 2/m 1'
_space_group_IT_number 12
_space_group_name_Hall '-C 2y'
loop_
_atom_site_label
_atom_site_type_symbol
_atom_site_fract_x
_atom_site_fract_y
_atom_site_fract_z
Na1 Na 0.000 0.000 0.000
Na2 Na 0.000 0.339 0.000
Pu1 Pu 0.000 0.167 0.500
Re1 Re 0.000 0.500 0.500
N1 N 0.219 0.345 0.691
N2 N 0.249 0.500 0.310
```

## Properties
Final energy ... -203.58 eV per cell
Raw formation energy ... -54.4 kJ/mol of atoms
Spin magnetization ... 7.94 μB/f.u.

Al2Hg2Te after structural relaxation. Source: the Alexandria database, functional PBE-GGA.

CIF file:
```
data_Al2Hg2Te
_cell_length_a 4.445
_cell_length_b 4.445
_cell_length_c 12.267
_cell_angle_alpha 90.00
_cell_angle_beta 90.00
_cell_angle_gamma 90.00
_space_group_name_H-M_alt 'I 4/m m m'
_space_group_IT_number 139
_space_group_name_Hall '-I 4 2'
loop_
_atom_site_label
_atom_site_type_symbol
_atom_site_fract_x
_atom_site_fract_y
_atom_site_fract_z
Al1 Al 0.000 0.500 0.250
Hg1 Hg 0.000 0.000 0.115
Te1 Te 0.000 0.000 0.500
```

## Properties
Final energy ... -20.30 eV per cell
Raw formation energy ... 20.9 kJ/mol of atoms
Spin magnetization ... 0.00 μB/f.u.

AsH3I6 after structural relaxation. Source: the Alexandria database, functional PBE-GGA.

CIF file:
```
data_AsH3I6
_cell_length_a 13.024
_cell_length_b 14.499
_cell_length_c 9.569
_cell_angle_alpha 90.00
_cell_angle_beta 90.00
_cell_angle_gamma 90.00
_space_group_name_H-M_alt 'C m c 21'
_space_group_IT_number 36
_space_group_name_Hall 'C 2c -2'
loop_
_atom_site_label
_atom_site_type_symbol
_atom_site_fract_x
_atom_site_fract_y
_atom_site_fract_z
As1 As 0.000 0.223 0.000
H1 H 0.000 0.475 0.164
H2 H 0.182 0.373 0.065
I1 I 0.000 0.065 0.876
I2 I 0.000 0.179 0.263
I3 I 0.148 0.483 0.171
I4 I 0.218 0.263 0.964
```

## Properties
Final energy ... -96.76 eV per cell
Spin magnetization ... 0.00 μB/f.u.

P2Rh2Pb after structural relaxation. Source: the Alexandria database, functional PBE-GGA.

CIF file:
```
data_P2Rh2Pb
_cell_length_a 3.928
_cell_length_b 3.928
_cell_length_c 11.853
_cell_angle_alpha 90.00
_cell_angle_beta 90.00
_cell_angle_gamma 90.00
_space_group_name_H-M_alt 'I 4/m m m'
_space_group_IT_number 139
_space_group_name_Hall '-I 4 2'
loop_
_atom_site_label
_atom_site_type_symbol
_atom_site_fract_x
_atom_site_fract_y
_atom_site_fract_z
P1 P 0.000 0.500 0.250
Rh1 Rh 0.000 0.000 0.142
Pb1 Pb 0.000 0.000 0.500
```

## Properties
Final energy ... -60.65 eV per cell
Spin magnetization ... 0.00 μB/f.u.
Energy of formation from the pure elements ... -219 meV per atom

Li6CaPt6 after structural relaxation. Source: the Alexandria database, functional PBE-GGA.

CIF file:
```
data_Li6CaPt6
_cell_length_a 5.370
_cell_length_b 8.573
_cell_length_c 9.197
_cell_angle_alpha 90.00
_cell_angle_beta 90.00
_cell_angle_gamma 90.00
_space_group_name_H-M_alt 'I m m m'
_space_group_IT_number 71
_space_group_name_Hall '-I 2 2'
loop_
_atom_site_label
_atom_site_type_symbol
_atom_site_fract_x
_atom_site_fract_y
_atom_site_fract_z
Li1 Li 0.000 0.000 0.149
Li2 Li 0.000 0.335 0.500
Li3 Li 0.000 0.500 0.193
Ca1 Ca 0.000 0.000 0.500
Pt1 Pt 0.000 0.268 0.000
Pt2 Pt 0.250 0.250 0.250
```

## Properties
Final energy ... -116.36 eV per cell
Spin magnetization ... 0.00 μB/f.u.
Energy of formation from the pure elements ... -650 meV per atom

SrGa2Au5 after structural relaxation. Source: the Alexandria database, functional PBE-GGA.

CIF file:
```
data_SrGa2Au5
_cell_length_a 4.337
_cell_length_b 7.152
_cell_length_c 10.909
_cell_angle_alpha 90.00
_cell_angle_beta 90.00
_cell_angle_gamma 90.00
_space_group_name_H-M_alt 'I m m m'
_space_group_IT_number 71
_space_group_name_Hall '-I 2 2'
loop_
_atom_site_label
_atom_site_type_symbol
_atom_site_fract_x
_atom_site_fract_y
_atom_site_fract_z
Sr1 Sr 0.000 0.000 0.000
Ga1 Ga 0.000 0.500 0.241
Au1 Au 0.000 0.201 0.363
Au2 Au 0.000 0.500 0.000
```

## Properties
Final energy ... -54.74 eV per cell
Spin magnetization ... 0.00 μB/f.u.
Energy of formation from the pure elements ... -406 meV per atom